The following is a DFT calculation (PBE) of a relaxed structure of NbVPd6.

```
NbVPd6
1.0
-2.0155 -2.9148 3.0241
-0.8478 -4.1216 -1.9993
5.1432 -4.5577 2.2905
Pd V Nb
6 1 1
direct
0.4393 0.9324 0.7001
0.5607 0.0676 0.2999
0.6525 0.6525 0.0579
0.9324 0.4393 0.7001
0.3475 0.3475 0.9421
0.0676 0.5607 0.2999
0.0000 0.0000 0.0000
0.5000 0.5000 0.5000
```

Properties
The space-group type is No. 12.

---

The following is a DFT calculation (PBE) of a relaxed structure of NbV2Pd.

```
NbV2Pd
1.0
-1.2434 -2.1077 2.0854
3.9897 -1.3471 1.0174
0.2067 2.9812 3.1364
Pd Nb V
1 1 2
direct
0.5000 0.0000 0.0000
0.5000 0.5000 0.5000
0.0000 0.5000 0.0000
0.0000 0.0000 0.5000
```

Properties
The space-group type is No. 123.

---

The following is a DFT calculation (PBE) of a relaxed structure of NbV3Pd.

```
NbV3Pd
1.0
4.5685 0.0000 0.0000
0.0000 4.5685 0.0000
0.0000 0.0000 4.5685
V Nb Pd
3 1 1
direct
0.0000 0.0000 0.5000
0.0000 0.5000 0.0000
0.5000 0.0000 0.0000
0.5000 0.5000 0.5000
0.0000 0.0000 0.0000
```

Properties
The space-group type is No. 221.

---

The following is a DFT calculation (PBE) of a relaxed structure of NbV2Pd8.

```
NbV2Pd8
1.0
-0.4321 -3.5044 -1.7626
5.2905 0.9812 -3.2478
2.0095 -1.4807 6.8693
Pd V Nb
8 2 1
direct
0.6820 0.9164 0.3639
0.3983 0.5446 0.7966
0.0448 0.7310 0.0895
0.1424 0.1965 0.2849
0.9552 0.2690 0.9105
0.6017 0.4554 0.2034
0.3180 0.0836 0.6361
0.8576 0.8035 0.7151
0.2218 0.6442 0.4435
0.7782 0.3558 0.5565
0.5000 0.0000 0.0000
```

Properties
The space-group type is No. 12.

---

In order of appearance, size of the total moment = 0.0 0.0 1.9 2.3 μB per formula unit.
In order of appearance, ΔH_f (0 K) = -0.023 -0.054 1.333 -0.287 eV/atom.
In order of appearance, electronic total energy = -6.32 -8.43 -7.19 -6.64 eV/atom.